Density functional theory data (PBE with a Hubbard U) for an optimized crystal structure of Li4Mn3CoO8.

For the distance to the lowest polymorph of the same formula, the calculation gives 0.4 kJ/mol of atoms. The space-group type is P2/m, No. 10. The calculation puts the total energy at -6.362 eV per atom.

Geometry as POSCAR:
```
Li4Mn3CoO8
1.0
5.374 0.000 -0.015
0.001 5.708 -0.001
2.298 0.000 4.937
O Mn Li Co
8 3 4 1
Cartesian
3.017 1.406 3.827
5.783 2.854 3.568
4.655 1.406 1.095
1.890 2.854 1.353
4.655 4.301 1.095
3.018 4.302 3.826
5.821 0.000 3.597
1.851 0.000 1.325
0.000 2.854 0.000
6.523 1.422 2.453
1.149 4.285 2.468
4.985 4.298 4.929
2.687 1.410 -0.008
3.836 0.000 2.461
3.836 2.854 2.461
5.375 5.707 -0.016
```